{"formula": "Ba6Ge2BrN", "functional": "PBE", "state": "optimized geometry", "lattice_angstrom": [[7.807, 0.000, 0.000], [0.000, 8.463, 0.000], [-7.607, 0.000, 11.524]], "species": ["Ba", "Ba", "Ba", "Ba", "Ba", "Ba", "Ba", "Ba", "Ba", "Ba", "Ba", "Ba", "Ge", "Ge", "Ge", "Ge", "Br", "Br", "N", "N"], "frac_coords": [[0.097, 0.210, 0.436], [0.097, 0.290, 0.936], [0.225, 0.666, 0.437], [0.225, 0.834, 0.937], [0.343, 0.044, 0.226], [0.343, 0.456, 0.726], [0.657, 0.544, 0.274], [0.657, 0.956, 0.774], [0.775, 0.166, 0.063], [0.775, 0.334, 0.563], [0.903, 0.710, 0.064], [0.903, 0.790, 0.564], [0.216, 0.080, 0.744], [0.216, 0.420, 0.244], [0.784, 0.580, 0.756], [0.784, 0.920, 0.256], [0.500, 0.000, 0.500], [0.500, 0.500, 0.000], [0.000, 0.000, 0.000], [0.000, 0.500, 0.500]], "total_magnetization_mub_per_atom": 0.000, "energy_ev_per_atom": -3.8156, "sg": "No. 14", "raw_formation_energy_ev_per_atom": -0.739}